NbPO5, optimized geometry, DFT GGA-PBEsol; calculated volume = 14.90 Å³ per atom; DFT total energy = -8.5530 eV/atom; DOS(E_F) = 0.0 states/eV/f.u.
1.0
5.4040 0.0000 0.0000
0.0000 6.7704 0.0000
0.0000 0.0000 11.4054
Nb P O
4 4 20
Cartesian
2.7706 4.5291 10.6849
0.0686 1.1439 6.4232
2.7706 5.6265 4.9822
0.0686 2.2413 0.7205
2.7856 3.1980 7.4538
2.7856 0.1873 1.7511
0.0836 3.5725 3.9515
0.0836 6.5832 9.6542
4.0722 0.9624 1.4762
4.2483 4.4102 4.2611
4.0722 2.4228 7.1788
0.0585 0.2063 8.1634
1.3864 6.7392 5.6867
4.0884 0.0312 5.7187
1.5463 1.0249 1.4416
0.0669 1.1102 10.4834
2.7605 6.5641 3.2420
1.3702 4.3476 4.2265
0.0585 3.1789 2.4607
4.2483 5.7455 9.9638
0.0669 2.2750 4.7807
1.3702 5.8081 9.9292
4.0884 3.3540 0.0160
1.5463 2.3603 7.1443
2.7689 5.6602 0.9220
2.7605 3.5915 8.9447
2.7689 4.4954 6.6247
1.3864 3.4164 11.3894